# 1
Be2Tl3 | PBE | relaxed

Results
The energy above the most stable polymorph in this dataset comes out at 193.9 meV per atom. Its crystal system is trigonal. Its formation energy is 61 kJ per mole of atoms.

Cell: 10.4172 10.4172 10.4172 Å, 19.08 19.08 19.08°
Positions (direct):
Be 0.3945 0.3945 0.3945
Be 0.6055 0.6055 0.6055
Tl 0.0000 0.0000 0.0000
Tl 0.7892 0.7892 0.7892
Tl 0.2108 0.2108 0.2108

=====

# 2
TaRu2Rh | PBE | relaxed

Results
The energy above the most stable polymorph in this dataset comes out at 217.5 meV per atom. Its crystal system is tetragonal. Its formation energy is -11 kJ per mole of atoms.

Cell: 2.7777 2.7777 7.7809 Å, 90.00 90.00 90.00°
Positions (direct):
Rh 0.5000 0.5000 0.7583
Ru 0.0000 0.0000 0.0069
Ru 0.5000 0.5000 0.2332
Ta 0.0000 0.0000 0.5016

=====

# 3
Ca2LaTaN4 | PBE | relaxed

Results
Its crystal system is orthorhombic. Its uncorrected formation energy is -1300 meV/atom.

Cell: 5.5140 6.7507 7.6967 Å, 90.00 90.00 90.00°
Positions (direct):
Ca 0.4716 0.3337 0.2530
Ca 0.4716 0.3337 0.7470
Ca 0.9716 0.6663 0.7530
Ca 0.9716 0.6663 0.2470
La 0.9697 0.1492 0.5000
La 0.4697 0.8508 0.0000
Ta 0.4960 0.8200 0.5000
Ta 0.9960 0.1800 0.0000
N 0.3476 0.1807 0.0000
N 0.8476 0.8193 0.5000
N 0.4258 0.1086 0.5000
N 0.9258 0.8914 0.0000
N 0.4087 0.6834 0.7200
N 0.9087 0.3166 0.2200
N 0.9087 0.3166 0.7800
N 0.4087 0.6834 0.2800

=====

# 4
Tb6Pm2Sc3 | PBE | relaxed

Results
Its crystal system is triclinic. Its formation energy is 4 kJ per mole of atoms.

Cell: 7.8021 8.5643 12.5805 Å, 47.22 72.21 111.67°
Positions (direct):
Tb 0.0901 0.6268 0.7321
Tb 0.7332 0.0962 0.8143
Tb 0.9099 0.3732 0.2679
Tb 0.2668 0.9038 0.1857
Tb 0.8034 0.7164 0.5510
Tb 0.1966 0.2836 0.4490
Pm 0.6438 0.4580 0.0891
Pm 0.3562 0.5420 0.9109
Sc 0.0000 0.0000 0.0000
Sc 0.5402 0.8039 0.3709
Sc 0.4598 0.1961 0.6291

=====

# 5
Ba2CoPb | PBE | relaxed

Results
Its crystal system is orthorhombic. Its formation energy is 2 kJ per mole of atoms.

Cell: 4.7459 5.1538 6.5684 Å, 66.93 90.00 90.00°
Last column: magnetic moment on the atom in μB.
Positions (direct):
Ba 0.0000 0.9833 0.9086  -0.05
Ba 0.5000 0.2695 0.3352  -0.06
Co 0.0000 0.6725 0.5303  1.34
Pb 0.5000 0.5747 0.7259  0.01

=====

# 6
CdTc2Pt | PBE | relaxed

Results
Its crystal system is tetragonal. Its formation energy is 0 kJ per mole of atoms.

Cell: 2.8371 2.8371 8.0197 Å, 90.00 90.00 90.00°
Positions (direct):
Cd 0.0000 0.0000 0.4995
Pt 0.5000 0.5000 0.7676
Tc 0.0000 0.0000 0.0121
Tc 0.5000 0.5000 0.2209

=====

# 7
Na3Hf3AgTe8 | PBE | relaxed

Results
Its crystal system is trigonal. Its uncorrected formation energy is -714 meV/atom.

Cell: 8.3311 8.3306 8.9996 Å, 117.59 90.00 120.00°
Positions (direct):
Na 0.0000 0.0000 0.0000
Na 0.0000 0.5000 0.0000
Na 0.5000 0.5000 0.0000
Hf 0.5000 0.0000 0.5000
Hf 0.5000 0.5000 0.5000
Hf 0.0000 0.5000 0.5000
Ag 0.0000 0.0000 0.5000
Te 0.2590 0.5179 0.2772
Te 0.7410 0.4821 0.7228
Te 0.7543 0.5087 0.2813
Te 0.2457 0.4913 0.7187
Te 0.7535 0.0269 0.2809
Te 0.2465 0.9731 0.7191
Te 0.2733 0.0269 0.2809
Te 0.7267 0.9731 0.7191

=====

# 8
Li2MgSb2 | PBE | relaxed

Results
The energy above the most stable polymorph in this dataset comes out at 0.0 meV per atom. Its crystal system is tetragonal. Its uncorrected formation energy is -342 meV/atom.

Cell: 8.3298 8.3298 3.2164 Å, 90.00 90.00 90.00°
Positions (direct):
Sb 0.3209 0.8209 0.0000
Sb 0.8209 0.6791 0.0000
Sb 0.6791 0.1791 0.0000
Sb 0.1791 0.3209 0.0000
Mg 0.0000 0.0000 0.0000
Mg 0.5000 0.5000 0.0000
Li 0.1190 0.6190 0.5000
Li 0.6190 0.8810 0.5000
Li 0.8810 0.3810 0.5000
Li 0.3810 0.1190 0.5000

=====

# 9
LiTeH | PBE | relaxed

Results
Its crystal system is triclinic.

Cell: 3.1341 4.2897 10.1539 Å, 77.64 81.22 89.70°
Positions (direct):
Li 0.7082 0.7047 0.0884
Li 0.2918 0.2953 0.9116
Te 0.1518 0.1477 0.2017
Te 0.8482 0.8523 0.7983
H 0.4211 0.5665 0.4991
H 0.5789 0.4335 0.5009

=====

# 10
MnCdTcH | PBE | relaxed

Results
The energy above the most stable polymorph in this dataset comes out at 56.3 meV per atom. Its crystal system is orthorhombic.

Cell: 3.4140 3.1973 9.4793 Å, 90.00 90.00 90.00°
Last column: magnetic moment on the atom in μB.
Positions (direct):
Mn 0.0000 0.0000 0.7183  3.17
Mn 0.5000 0.5000 0.2183  3.17
Cd 0.0000 0.0000 0.0389  -0.02
Cd 0.5000 0.5000 0.5389  -0.02
Tc 0.0000 0.0000 0.3552  -0.10
Tc 0.5000 0.5000 0.8552  -0.10
H 0.0000 0.5000 0.2723  -0.01
H 0.5000 0.0000 0.7723  -0.01

=====

# 11
PmNd4Te5 | PBE | relaxed

Results
Its crystal system is orthorhombic. Its uncorrected formation energy is -1418 meV/atom.

Cell: 4.4917 6.3386 11.9093 Å, 105.43 100.87 90.00°
Positions (direct):
Pm 0.0000 0.0000 0.0000
Nd 0.3998 0.3998 0.7996
Nd 0.8006 0.8006 0.6011
Nd 0.1994 0.1994 0.3989
Nd 0.6002 0.6002 0.2004
Te 0.5990 0.0990 0.1980
Te 0.7997 0.2997 0.5993
Te 0.2003 0.7003 0.4007
Te 0.0000 0.5000 0.0000
Te 0.4010 0.9010 0.8020

=====

# 12
YVAs2Br | PBE | relaxed

Results
The energy above the most stable polymorph in this dataset comes out at 718.4 meV per atom. Its crystal system is tetragonal. Its uncorrected formation energy is 404 meV/atom.

Cell: 5.4476 5.4476 5.4107 Å, 90.00 90.00 90.00°
Last column: magnetic moment on the atom in μB.
Positions (direct):
Y 0.0000 0.0000 0.0000  -0.01
As 0.0000 0.5000 0.0000  -0.14
As 0.5000 0.0000 0.0000  -0.14
Br 0.0000 0.0000 0.5000  -0.05
V 0.5000 0.5000 0.5000  3.06

=====

# 13
CaSm2Eu | PBE | relaxed

Results
The energy above the most stable polymorph in this dataset comes out at 86.5 meV per atom. Its crystal system is trigonal. Its formation energy is 20 kJ per mole of atoms.

Cell: 3.6259 3.6259 13.2686 Å, 82.15 82.15 60.00°
Last column: magnetic moment on the atom in μB.
Positions (direct):
Eu 0.5000 0.5000 0.5000  -7.00
Ca 0.0000 0.0000 0.0000  0.00
Sm 0.0888 0.0888 0.7337  -0.08
Sm 0.9112 0.9112 0.2663  -0.08

=====

# 14
SmSi3Ir3 | PBE | relaxed

Results
The energy above the most stable polymorph in this dataset comes out at 145.0 meV per atom. Its crystal system is cubic. Its uncorrected formation energy is -459 meV/atom.

Cell: 6.5503 6.5503 6.5503 Å, 90.00 90.00 90.00°
Positions (direct):
Si 0.0000 0.2500 0.5000
Si 0.0000 0.7500 0.5000
Si 0.5000 0.0000 0.7500
Si 0.7500 0.5000 0.0000
Si 0.5000 0.0000 0.2500
Si 0.2500 0.5000 0.0000
Ir 0.2500 0.0000 0.5000
Ir 0.0000 0.5000 0.2500
Ir 0.5000 0.7500 0.0000
Ir 0.7500 0.0000 0.5000
Ir 0.0000 0.5000 0.7500
Ir 0.5000 0.2500 0.0000
Sm 0.5000 0.5000 0.5000
Sm 0.0000 0.0000 0.0000

=====

# 15
SmHoZnGe | PBE | relaxed

Results
The energy above the most stable polymorph in this dataset comes out at 0.0 meV per atom. Its crystal system is orthorhombic. Its formation energy is -58 kJ per mole of atoms.

Cell: 4.2235 4.1226 5.9083 Å, 90.00 110.94 90.00°
Last column: magnetic moment on the atom in μB.
Positions (direct):
Sm 0.1436 0.0000 0.2872  0.08
Ho 0.8613 0.5000 0.7226  0.09
Zn 0.5720 0.5000 0.1440  0.01
Ge 0.4231 0.0000 0.8462  -0.01

=====

# 16
Ce3Mn5S12 | PBE | relaxed

Results
Its crystal system is cubic. Its uncorrected formation energy is -1116 meV/atom.

Cell: 13.0288 13.0288 13.0288 Å, 109.47 109.47 109.47°
Last column: magnetic moment on the atom in μB.
Positions (direct):
Ce 0.7500 0.3750 0.1250  0.75
Ce 0.8750 0.7500 0.1250  0.75
Ce 0.3750 0.7500 0.6250  0.75
Ce 0.2500 0.1250 0.3750  0.75
Ce 0.8750 0.1250 0.2500  0.75
Ce 0.3750 0.6250 0.2500  0.75
Ce 0.6250 0.3750 0.7500  0.75
Ce 0.1250 0.8750 0.7500  0.75
Ce 0.7500 0.8750 0.6250  0.75
Ce 0.6250 0.2500 0.3750  0.75
Ce 0.1250 0.2500 0.8750  0.75
Ce 0.2500 0.6250 0.8750  0.75
Mn 0.1250 0.3750 0.2500  3.79
Mn 0.0000 0.5000 0.0000  3.72
Mn 0.0000 0.0000 0.0000  3.72
Mn 0.3750 0.2500 0.1250  3.79
Mn 0.5000 0.0000 0.5000  3.72
Mn 0.5000 0.5000 0.0000  3.72
Mn 0.1250 0.7500 0.3750  3.79
Mn 0.7500 0.1250 0.8750  3.79
Mn 0.7500 0.6250 0.3750  3.79
Mn 0.3750 0.1250 0.7500  3.79
Mn 0.6250 0.8750 0.2500  3.79
Mn 0.5000 0.5000 0.5000  3.72
Mn 0.5000 0.0000 0.0000  3.72
Mn 0.0000 0.0000 0.5000  3.72
Mn 0.2500 0.3750 0.6250  3.79
Mn 0.2500 0.8750 0.1250  3.79
Mn 0.0000 0.5000 0.5000  3.72
Mn 0.8750 0.2500 0.6250  3.79
Mn 0.6250 0.7500 0.8750  3.79
Mn 0.8750 0.6250 0.7500  3.79
S 0.7080 0.1221 0.0324  -0.02
S 0.3243 0.5324 0.4102  -0.02
S 0.9676 0.3779 0.2920  -0.02
S 0.5324 0.2080 0.1221  -0.02
S 0.5859 0.7080 0.6757  -0.02
S 0.9676 0.5898 0.1757  -0.02
S 0.3243 0.7920 0.4141  -0.02
S 0.0898 0.9141 0.1221  -0.02
S 0.5898 0.9676 0.6757  -0.02
S 0.7080 0.5859 0.1757  -0.02
S 0.7920 0.4676 0.3779  -0.02
S 0.8243 0.9102 0.0324  -0.02
S 0.1221 0.7080 0.5324  -0.02
S 0.3779 0.4102 0.0859  -0.02
S 0.0859 0.9102 0.3779  -0.02
S 0.4141 0.1221 0.5898  -0.02
S 0.0859 0.1757 0.2080  -0.02
S 0.4676 0.6757 0.0898  -0.02
S 0.8243 0.9141 0.2920  -0.02
S 0.1221 0.4141 0.0898  -0.02
S 0.3779 0.9676 0.7920  -0.02
S 0.5898 0.6221 0.4141  -0.02
S 0.9102 0.8243 0.5324  -0.02
S 0.7920 0.3243 0.9141  -0.02
S 0.4102 0.3779 0.5859  -0.02
S 0.0898 0.1757 0.4676  -0.02
S 0.2080 0.6757 0.0859  -0.02
S 0.1757 0.0859 0.7080  -0.02
S 0.6221 0.0324 0.2080  -0.02
S 0.8779 0.5859 0.9102  -0.02
S 0.5324 0.3243 0.9102  -0.02
S 0.5859 0.8779 0.4102  -0.02
S 0.9141 0.8243 0.7920  -0.02
S 0.9141 0.0898 0.6221  -0.02
S 0.8779 0.2920 0.4676  -0.02
S 0.1757 0.0898 0.9676  -0.02
S 0.6221 0.5898 0.9141  -0.02
S 0.4102 0.0324 0.3243  -0.02
S 0.2920 0.4141 0.8243  -0.02
S 0.2080 0.5324 0.6221  -0.02
S 0.9102 0.0859 0.8779  -0.02
S 0.6757 0.2080 0.5859  -0.02
S 0.4676 0.7920 0.8779  -0.02
S 0.0324 0.4102 0.8243  -0.02
S 0.4141 0.2920 0.3243  -0.02
S 0.0324 0.6221 0.7080  -0.02
S 0.6757 0.4676 0.5898  -0.02
S 0.2920 0.8779 0.9676  -0.02

=====

# 17
SrZr2As | PBE | relaxed

Results
Its crystal system is tetragonal. Its formation energy is -40 kJ per mole of atoms.

Cell: 3.5956 3.5956 8.1565 Å, 90.00 90.00 90.00°
Positions (direct):
Sr 0.5000 0.5000 0.7140
As 0.0000 0.0000 0.4327
Zr 0.0000 0.0000 0.0645
Zr 0.5000 0.5000 0.2888

=====

# 18
MnMo2P | PBE | relaxed

Results
Its crystal system is cubic. Its formation energy is 10 kJ per mole of atoms.

Cell: 4.2281 4.2281 4.2281 Å, 60.00 60.00 60.00°
Last column: magnetic moment on the atom in μB.
Positions (direct):
Mn 0.5000 0.5000 0.5000  0.30
Mo 0.0000 0.0000 0.0000  0.06
Mo 0.7500 0.7500 0.7500  -0.05
P 0.2500 0.2500 0.2500  -0.01

=====

# 19
USiMo | PBE | relaxed

Results
Its crystal system is trigonal. Its uncorrected formation energy is 17 meV/atom.

Cell: 2.8588 4.6137 4.6137 Å, 120.00 90.00 90.00°
Positions (direct):
Mo 0.8063 0.0000 0.0000
U 0.3516 0.3333 0.6667
Si 0.8421 0.6667 0.3333

=====

# 20
SbRuI2O | PBE | relaxed

Results
The energy above the most stable polymorph in this dataset comes out at 0.0 meV per atom. Its crystal system is tetragonal. Its uncorrected formation energy is 21 meV/atom.

Cell: 5.6647 5.6647 3.7476 Å, 90.00 90.00 90.00°
Positions (direct):
I 0.0000 0.5000 0.0000
I 0.5000 0.0000 0.0000
Sb 0.5000 0.5000 0.5000
O 0.0000 0.0000 0.5000
Ru 0.0000 0.0000 0.0000

=====

# 21
EuMgNi | PBE | relaxed

Results
Its crystal system is tetragonal. Its formation energy is -4 kJ per mole of atoms.

Cell: 3.3377 3.3377 6.3396 Å, 105.26 105.26 90.00°
Last column: magnetic moment on the atom in μB.
Positions (direct):
Eu 0.0236 0.0236 0.0472  6.86
Ni 0.6828 0.6828 0.3656  -0.10
Mg 0.2936 0.2936 0.5872  0.00

=====

no.,electronic total energy (eV per cell)
1,-11.37
2,-38.22
3,-128.97
4,-55.77
5,-14.58
6,-27.69
7,-72.52
8,-30.75
9,-19.39
10,-45.73
11,-53.71
12,-24.53
13,-20.90
14,-101.56
15,-17.60
16,-542.01
17,-25.09
18,-35.84
19,-27.49
20,-21.35
21,-17.78